A geometry-optimized RbTaV2O8 structure. Source: Alexandria, functional PBE+U.

Cell and atoms, written as extended XYZ:
```
12
Lattice="-4.031 2.921 -2.568 -3.087 -2.538 -3.925 -5.437 -2.316 5.536" Properties=species:S:1:pos:R:3 pbc="T T T"
O -4.589 -1.560 -3.056
O -7.061 -0.694 -2.123
O -5.493 -1.240 1.166
O -6.219 -2.008 3.750
O -6.336 0.074 -4.707
O -7.483 -3.169 1.405
O -7.966 -0.374 2.099
O -5.072 1.235 -2.362
Rb -2.719 -1.158 2.768
V -5.783 -0.241 -3.057
V -6.772 -1.693 2.100
Ta 0.000 0.000 0.000
```

DFT total energy in eV/cell: -94.33
Density in g/cm3: 3.70
DOS at the Fermi energy in states/eV/f.u.: 0.00
Magnetic moment in Bohr magnetons per cell: 0.00